Here is a relaxed structure of Tb8Sc2Tl from Alexandria. Energies are from PBE-GGA.

Structure (extended XYZ):
```
11
Lattice="4.903 0.000 0.000 0.000 7.807 0.428 -2.452 -2.899 8.327" Properties=species:S:1:pos:R:3 pbc="T T T"
Tb 0.000 1.959 6.997
Tb 2.452 6.066 3.420
Tb 2.452 4.256 6.373
Tb 2.452 -0.465 7.666
Tb 0.000 0.653 2.383
Tb 0.000 -1.157 5.336
Tb 2.452 2.950 1.758
Tb 0.000 5.374 1.090
Sc 2.452 1.265 4.747
Sc 0.000 3.643 4.009
Tl 2.452 0.000 0.000
```

Values from the calculation:
magnetization	0.0	μB per formula unit
ρ	8.003	g/cm3
raw total energy	-4.764	eV per atom